1.
A plane-wave DFT calculation with PBE-GGA was carried out for a geometry-optimized Na3Y2PaTe6 structure.

Lattice parameters (Å, degrees): 7.6259 13.2075 8.0489 90.00 108.40 90.00
Last column: nearest neighbours and their distance in Å.
Space group C2/m (No. 12)
Unique sites:
Na: 0.0000 0.0000 0.0000  6 Te 3.24-3.25
Na: 0.0000 0.3329 0.0000  6 Te 3.24-3.25
Y: 0.0000 0.1666 0.5000  6 Te 3.11
Pa: 0.0000 0.5000 0.5000  6 Te 3.12
Te: 0.2444 0.0000 0.7356  2 Y 3.11, 1 Pa 3.12, 3 Na 3.24-3.25
Te: 0.2455 0.3329 0.7355  2 Y 3.11, 1 Pa 3.12, 3 Na 3.24-3.25

Properties
As for the raw formation energy: -1.1506 eV per atom.

2.
A plane-wave DFT calculation with PBE-GGA was carried out for a geometry-optimized Na3Y3PaTe8 structure.

Lattice parameters (Å, degrees): 8.8385 8.8385 22.8158 90.00 90.00 120.00
Last column: nearest neighbours and their distance in Å.
Space group R-3m (No. 166, hexagonal axes)
Unique sites:
Na: 0.0000 0.5000 0.0000  6 Te 3.26-3.27
Y: 0.0000 0.5000 0.5000  6 Te 3.09-3.11
Pa: 0.0000 0.0000 0.5000  6 Te 3.11
Te: 0.0000 0.0000 0.2443  3 Y 3.11, 3 Na 3.26
Te: 0.0015 0.5007 0.7562  2 Y 3.09, 1 Pa 3.11, 2 Na 3.27

Properties
As for the raw formation energy: -1.2170 eV per atom.

3.
A plane-wave DFT calculation with PBE-GGA was carried out for a geometry-optimized Na3YPa2Te6 structure.

Lattice parameters (Å, degrees): 7.5478 13.0738 8.1560 90.00 107.96 90.00
Last column: nearest neighbours and their distance in Å.
Space group C2/m (No. 12)
Unique sites:
Na: 0.0000 0.0000 0.0000  6 Te 3.23-3.24
Na: 0.0000 0.3342 0.0000  6 Te 3.22-3.25
Y: 0.0000 0.5000 0.5000  6 Te 3.11
Pa: 0.0000 0.1667 0.5000  6 Te 3.12-3.13
Te: 0.2453 0.3340 0.7380  1 Y 3.11, 2 Pa 3.13, 3 Na 3.23-3.25
Te: 0.2474 0.0000 0.7377  1 Y 3.11, 2 Pa 3.12, 3 Na 3.22-3.24

Properties
As for the raw formation energy: -0.9972 eV per atom.

4.
A plane-wave DFT calculation with PBE-GGA was carried out for a geometry-optimized Na3Zr3PaTe8 structure.

Lattice parameters (Å, degrees): 14.2288 8.2195 9.1930 90.00 121.09 90.00
Last column: nearest neighbours and their distance in Å.
Space group C2/m (No. 12)
Unique sites:
Na: 0.0000 0.0000 0.0000  6 Te 3.21-3.22
Na: 0.2500 0.2500 0.0000  6 Te 3.21-3.22
Zr: 0.0000 0.5000 0.5000  6 Te 2.95-2.96
Zr: 0.2500 0.2500 0.5000  6 Te 2.95-2.96
Pa: 0.0000 0.0000 0.5000  6 Te 3.07-3.08
Te: 0.0094 0.2606 0.2682  2 Zr 2.95-2.96, 1 Pa 3.07, 2 Na 3.21-3.22
Te: 0.2418 0.5000 0.7250  3 Zr 2.96, 3 Na 3.21
Te: 0.2487 0.5000 0.2681  2 Zr 2.95, 1 Pa 3.08, 2 Na 3.22

Properties
As for the raw formation energy: -0.9034 eV per atom.

5.
A plane-wave DFT calculation with PBE-GGA was carried out for a geometry-optimized Na4ZrPa3Te8 structure.

Lattice parameters (Å, degrees): 8.4955 8.4955 23.7402 90.00 90.00 120.00
Last column: nearest neighbours and their distance in Å.
Space group R-3m (No. 166, hexagonal axes)
Unique sites:
Na: 0.0000 0.0000 0.0000  6 Te 3.29
Na: 0.0000 0.5000 0.0000  6 Te 3.18-3.20
Zr: 0.0000 0.0000 0.5000  6 Te 3.01
Pa: 0.0000 0.5000 0.5000  6 Te 3.11-3.12
Te: 0.0000 0.0000 0.2477  3 Pa 3.12, 3 Na 3.18
Te: 0.0112 0.5056 0.2449  1 Zr 3.01, 2 Pa 3.11, 3 Na 3.20-3.29

Properties
As for the raw formation energy: -0.8661 eV per atom.

6.
A plane-wave DFT calculation with PBE-GGA was carried out for a geometry-optimized Na4Zr3PaTe8 structure.

Lattice parameters (Å, degrees): 8.2414 8.2414 23.7957 90.00 90.00 120.00
Last column: nearest neighbours and their distance in Å.
Space group R-3m (No. 166, hexagonal axes)
Unique sites:
Na: 0.0000 0.0000 0.0000  6 Te 3.14
Na: 0.0000 0.5000 0.0000  6 Te 3.22-3.23
Zr: 0.0000 0.5000 0.5000  6 Te 2.97-2.98
Pa: 0.0000 0.0000 0.5000  6 Te 3.06
Te: 0.0000 0.0000 0.2412  3 Zr 2.97, 3 Na 3.23
Te: 0.0100 0.5050 0.7562  2 Zr 2.98, 1 Pa 3.06, 3 Na 3.14-3.22

Properties
As for the raw formation energy: -0.9019 eV per atom.

DOS at the Fermi energy (states/eV/cell)
19.1 11.3 23.4 21.5 56.6 25.0